## HfTi2BiW (PBEsol)

Data for an optimized crystal structure of HfTi2BiW.

Calculated values
Energy of formation, kJ/mol of formula units: 925
Total magnetic moment, μB per cell: 0.0
VASP energy, Ry per atom: -0.5242

a b c (Å): 4.8599 4.8599 5.2045
angles (deg): 90.00 90.00 90.00
With the nearest neighbours (Å) after each atom.
Space group P4/mmm (No. 123)
Inequivalent atoms, fractional coordinates:
1 Hf 0.0000 0.0000 0.0000  2 Bi 2.60
2 Ti 0.0000 0.5000 0.5000  2 Bi 2.43
3 Bi 0.0000 0.0000 0.5000  4 Ti 2.43, 2 Hf 2.60
4 W 0.5000 0.5000 0.0000  4 Hf 3.44, 8 Ti 3.56